[1]
# NpSi2Pd (PBE-GGA, optimized geometry)
# Raw formation energy: -0.44 eV per atom
data_NpSi2Pd
_chemical_formula_sum 'Np8 Si16 Pd8'
_cell_length_a 13.422
_cell_length_b 4.008
_cell_length_c 10.607
_cell_angle_alpha 90.00
_cell_angle_beta 90.00
_cell_angle_gamma 90.00
_symmetry_space_group_name_H-M 'P n m a'
_symmetry_Int_Tables_number 62
_symmetry_space_group_name_Hall '-P 2ac 2n'
loop_
_atom_site_label
_atom_site_type_symbol
_atom_site_fract_x
_atom_site_fract_y
_atom_site_fract_z
Np1 Np 0.052 0.250 0.239
Np2 Np 0.195 0.750 0.968
Si1 Si 0.028 0.250 0.956
Si2 Si 0.113 0.250 0.769
Si3 Si 0.127 0.750 0.452
Si4 Si 0.210 0.750 0.258
Pd1 Pd 0.060 0.250 0.554
Pd2 Pd 0.201 0.750 0.669



[2]
# Na2LiMg (PBE-GGA, optimized geometry)
# Formation energy from the elements: 23 meV per atom
data_Na2LiMg
_chemical_formula_sum 'Na4 Li2 Mg2'
_cell_length_a 3.466
_cell_length_b 3.463
_cell_length_c 18.623
_cell_angle_alpha 90.00
_cell_angle_beta 90.08
_cell_angle_gamma 90.00
_symmetry_space_group_name_H-M 'P 1 21 1'
_symmetry_Int_Tables_number 4
_symmetry_space_group_name_Hall 'P 2yb'
loop_
_atom_site_label
_atom_site_type_symbol
_atom_site_fract_x
_atom_site_fract_y
_atom_site_fract_z
Na1 Na 0.247 0.000 0.233
Na2 Na 0.251 0.004 0.923
Li1 Li 0.249 0.000 0.458
Mg1 Mg 0.253 0.997 0.635